VASP calculation (PBE) on an optimized crystal structure of LiIn2Hg2I6.

abc: 8.313 8.753 9.525
angles: 127.78 90.00 118.35
Atoms (fractional coordinates):
I 0.772 0.544 0.707
I 0.317 0.110 0.779
Hg 0.277 0.553 0.845
Hg 0.723 0.447 0.155
I 0.228 0.456 0.293
In 0.118 0.236 0.434
Li 0.500 0.000 0.500
I 0.683 0.890 0.221
In 0.882 0.764 0.566
I 0.207 0.890 0.221
I 0.793 0.110 0.779

Output
formation energy from raw total energies	-467.5	meV/atom
total magnetization	0.00	μB/atom
space group	No. 12

---

VASP calculation (PBE) on an optimized crystal structure of InHgI2N.

abc: 6.127 6.127 4.183
angles: 90.00 90.00 90.00
Atoms (fractional coordinates):
I 0.500 0.000 0.000
In 0.000 0.000 0.000
Hg 0.500 0.500 0.500
N 0.000 0.000 0.500
I 0.000 0.500 0.000

Output
E above lowest polymorph	0	meV/atom
formation energy from raw total energies	520.1	meV/atom
total magnetization	0.30	μB/atom
space group	No. 123

---

VASP calculation (PBE) on an optimized crystal structure of InHgI2N.

abc: 6.264 6.264 4.292
angles: 90.00 90.00 90.00
Atoms (fractional coordinates):
N 0.000 0.000 0.500
I 0.000 0.500 0.000
In 0.500 0.500 0.500
I 0.500 0.000 0.000
Hg 0.000 0.000 0.000

Output
E above lowest polymorph	75	meV/atom
formation energy from raw total energies	595.0	meV/atom
total magnetization	0.40	μB/atom
space group	No. 123

---

VASP calculation (PBE) on an optimized crystal structure of NaInHg2I4.

abc: 9.115 9.115 8.147
angles: 124.03 123.96 90.00
Atoms (fractional coordinates):
In 0.736 0.736 0.472
Na 0.986 0.486 0.972
Hg 0.236 0.235 0.472
I 0.030 0.093 0.763
I 0.802 0.442 0.180
Hg 0.486 0.986 0.972
I 0.379 0.739 0.181
I 0.733 0.669 0.763

Output
formation energy from raw total energies	-507.7	meV/atom
total magnetization	0.00	μB/atom
space group	No. 1

---

VASP calculation (PBE) on an optimized crystal structure of NaInHgI2.

abc: 4.651 9.140 9.453
angles: 97.24 90.00 90.00
Atoms (fractional coordinates):
In 0.750 0.223 0.653
I 0.250 0.207 0.922
Na 0.750 0.143 0.140
I 0.750 0.863 0.628
Hg 0.750 0.497 0.366
I 0.750 0.793 0.078
I 0.250 0.137 0.372
In 0.250 0.777 0.347
Na 0.250 0.857 0.860
Hg 0.250 0.503 0.634

Output
E above lowest polymorph	0	meV/atom
formation energy from raw total energies	-650.8	meV/atom
total magnetization	0.00	μB/atom
space group	No. 11

---

VASP calculation (PBE) on an optimized crystal structure of Na2InHgI4.

abc: 4.561 7.848 10.075
angles: 61.93 76.92 73.11
Atoms (fractional coordinates):
I 0.626 0.666 0.082
Na 0.782 0.706 0.731
Hg 0.500 0.500 0.500
Na 0.218 0.294 0.269
I 0.153 0.018 0.675
I 0.374 0.334 0.918
In 0.000 0.000 0.000
I 0.847 0.982 0.325

Output
formation energy from raw total energies	-703.2	meV/atom
total magnetization	0.00	μB/atom
space group	No. 12

---

VASP calculation (PBE) on an optimized crystal structure of Na2In2HgI6.

abc: 8.522 8.089 11.882
angles: 115.38 96.41 49.83
Atoms (fractional coordinates):
In 0.795 0.521 0.314
I 0.118 0.403 0.157
I 0.882 0.597 0.843
In 0.205 0.479 0.686
Na 0.966 0.200 0.902
I 0.034 0.131 0.378
Hg 0.500 0.000 0.500
I 0.966 0.869 0.622
I 0.652 0.325 0.114
Na 0.034 0.800 0.098
I 0.348 0.675 0.886

Output
formation energy from raw total energies	-717.7	meV/atom
total magnetization	0.00	μB/atom
space group	No. 2

---

VASP calculation (PBE) on an optimized crystal structure of Na2InHgI6.

abc: 7.972 7.973 8.542
angles: 62.16 62.19 59.98
Atoms (fractional coordinates):
Na 0.520 0.519 0.442
I 0.701 0.099 0.762
Hg 0.819 0.820 0.541
I 0.957 0.582 0.254
I 0.099 0.438 0.762
In 0.324 0.325 0.026
I 0.437 0.702 0.762
I 0.207 0.957 0.254
I 0.583 0.206 0.254
Na 0.014 0.014 0.958

Output
formation energy from raw total energies	-675.4	meV/atom
total magnetization	0.00	μB/atom
space group	No. 146

---

VASP calculation (PBE) on an optimized crystal structure of NaInHgI2.

abc: 6.613 5.359 6.613
angles: 90.00 90.00 90.00
Atoms (fractional coordinates):
I 0.500 0.000 0.000
Na 0.500 0.500 0.500
I 0.000 0.000 0.500
In 0.000 0.500 0.000
Hg 0.000 0.000 0.000

Output
E above lowest polymorph	385	meV/atom
formation energy from raw total energies	-265.9	meV/atom
total magnetization	0.00	μB/atom
space group	No. 123

---

VASP calculation (PBE) on an optimized crystal structure of Na2InHgI.

abc: 5.870 5.594 5.870
angles: 90.00 90.00 90.00
Atoms (fractional coordinates):
In 0.000 0.500 0.000
Na 0.500 0.000 0.000
Na 0.000 0.000 0.500
Hg 0.000 0.000 0.000
I 0.500 0.500 0.500

Output
formation energy from raw total energies	-194.7	meV/atom
total magnetization	0.00	μB/atom
space group	No. 123

---

VASP calculation (PBE) on an optimized crystal structure of In2NiHgI.

abc: 5.164 5.164 5.187
angles: 90.00 90.00 90.00
Atoms (fractional coordinates):
I 0.500 0.500 0.500
Ni 0.000 0.000 0.000
In 0.000 0.500 0.000
Hg 0.000 0.000 0.500
In 0.500 0.000 0.000

Output
formation energy from raw total energies	-130.3	meV/atom
total magnetization	0.00	μB/atom
space group	No. 123

---

VASP calculation (PBE) on an optimized crystal structure of NpIn2HgI6.

abc: 9.327 9.327 9.327
angles: 54.27 54.27 54.27
Atoms (fractional coordinates):
I 0.960 0.229 0.644
In 0.675 0.675 0.675
In 0.195 0.195 0.195
I 0.050 0.828 0.395
I 0.395 0.050 0.828
I 0.229 0.644 0.960
Np 0.015 0.015 0.015
I 0.644 0.960 0.229
I 0.828 0.395 0.050
Hg 0.511 0.511 0.511

Output
formation energy from raw total energies	-568.4	meV/atom
total magnetization	0.30	μB/atom
space group	No. 146